# MnCrIn2, optimized geometry, DFT PBE
# Energy relative to the elements: 0.349 eV per atom
# Distance to the lowest polymorph of the same formula: 114 meV/atom
data_MnCrIn2
_symmetry_space_group_name_H-M 'P 1'
_symmetry_Int_Tables_number 1
_cell_length_a 9.098
_cell_length_b 9.098
_cell_length_c 9.098
_cell_angle_alpha 19.83
_cell_angle_beta 19.83
_cell_angle_gamma 19.83
loop_
_symmetry_equiv_pos_as_xyz
'x,y,z'
loop_
_atom_site_label
_atom_site_type_symbol
_atom_site_fract_x
_atom_site_fract_y
_atom_site_fract_z
_atom_site_occupancy
Mn1 Mn 0.488 0.488 0.488 1
In1 In 0.009 0.009 0.009 1
In2 In 0.241 0.241 0.241 1
Cr1 Cr 0.763 0.763 0.763 1